A.
Compound: TbPm3Sc6
Source: Alexandria via LeMat-Bulk
Functional: PBE-GGA
Structure: relaxed

Cell lengths 11.7881, 15.7819, 6.1212 Å; angles 90.00, 90.00, 90.00 degrees
Closest atoms and distances in Å follow each position.
Space group Cmc2_1 (No. 36)
Symmetry-distinct sites (fractional):
Tb1 0.0000 0.2114 0.0000 x4  2 Sc 2.85-3.16
Pm1 0.0000 0.4104 0.1966 x4  1 Tb 3.36, 7 Sc 3.37-3.48, 2 Pm 3.56
Pm2 0.1981 0.0785 0.7135 x8  4 Sc 3.11-3.37
Sc1 0.0000 0.0564 0.3274 x4  1 Tb 3.16, 4 Pm 3.24-3.34, 3 Sc 3.24-3.54
Sc2 0.0000 0.2441 0.5418 x4  1 Tb 2.85, 4 Sc 2.86-3.14
Sc3 0.1405 0.4024 0.6964 x8  2 Sc 2.93-3.14
Sc4 0.2159 0.2405 0.3276 x8  4 Sc 2.86-3.18, 1 Pm 3.11

Calculated values
N(E_F) ... 15.18 states/eV/f.u.
Total magnetic moment ... 0.00 Bohr magnetons per cell

=====

B.
Compound: TbPm3Sc6
Source: Alexandria via LeMat-Bulk
Functional: PBE-GGA
Structure: relaxed

Cell lengths 9.3524, 9.3524, 11.2780 Å; angles 90.00, 90.00, 120.00 degrees
Closest atoms and distances in Å follow each position.
Space group R3 (No. 146, hexagonal axes)
Symmetry-distinct sites (fractional):
Tb1 0.0000 0.0000 0.0000 x3  2 Pm 2.82
Pm1 0.0000 0.0000 0.2500 x3  1 Pm 2.82, 1 Tb 2.82, 3 Sc 3.06
Pm2 0.0000 0.0000 0.5000 x3  2 Pm 2.82
Pm3 0.0000 0.0000 0.7501 x3  1 Tb 2.82, 1 Pm 2.82, 3 Sc 3.06
Sc1 0.0021 0.6734 0.7505 x9  2 Pm 3.06-3.29, 1 Tb 3.27
Sc2 0.0067 0.3380 0.9173 x9  2 Pm 3.06-3.30, 1 Tb 3.27

Calculated values
N(E_F) ... 20.74 states/eV/f.u.
Total magnetic moment ... 0.00 Bohr magnetons per cell

=====

A comes first in stability; the runner-up is 0.226 eV/atom higher.

=====

A.
Compound: Tb2Pm2Sc3
Source: Alexandria via LeMat-Bulk
Functional: PBE-GGA
Structure: relaxed

Cell lengths 9.3937, 9.3937, 9.3937 Å; angles 90.00, 90.00, 90.00 degrees
Closest atoms and distances in Å follow each position.
Space group I2_13 (No. 199)
Symmetry-distinct sites (fractional):
Tb1 0.0348 0.0348 0.0348 x8  6 Sc 3.15-3.16, 1 Pm 3.24
Pm1 0.1640 0.3360 0.6640 x8  1 Tb 3.24, 3 Sc 3.29, 3 Pm 3.48
Sc1 0.0000 0.2500 0.2912 x12  4 Tb 3.15-3.16, 2 Pm 3.29

Calculated values
N(E_F) ... 9.95 states/eV/f.u.
Total magnetic moment ... 0.00 Bohr magnetons per cell

=====

B.
Compound: Tb2Pm2Sc3
Source: Alexandria via LeMat-Bulk
Functional: PBE-GGA
Structure: relaxed

Cell lengths 5.5472, 12.1380, 6.2210 Å; angles 90.00, 92.41, 90.00 degrees
Closest atoms and distances in Å follow each position.
Space group P2_1/c (No. 14)
Symmetry-distinct sites (fractional):
Tb1 0.0390 0.1558 0.0013 x4  4 Sc 3.28-3.65, 4 Pm 3.44-3.64
Pm1 0.4539 0.6783 0.1638 x4  3 Sc 2.99-3.22
Sc1 0.0000 0.0000 0.5000 x2  4 Sc 3.30-3.46, 2 Pm 3.44, 4 Tb 3.65
Sc2 0.4683 0.5573 0.7107 x4  3 Pm 2.99-3.22, 2 Sc 3.00-3.30, 2 Tb 3.28-3.31

Calculated values
N(E_F) ... 11.18 states/eV/f.u.
Total magnetic moment ... 0.00 Bohr magnetons per cell

=====

B comes first in stability; the runner-up is 0.056 eV/atom higher.

=====

A.
Compound: Tb3Pm2Sc2
Source: Alexandria via LeMat-Bulk
Functional: PBE-GGA
Structure: relaxed

Cell lengths 6.5064, 9.8915, 6.8095 Å; angles 90.00, 98.25, 90.00 degrees
Closest atoms and distances in Å follow each position.
Space group P2_1/c (No. 14)
Symmetry-distinct sites (fractional):
Tb1 0.0000 0.0000 0.0000 x2  4 Tb 3.44-3.59, 4 Sc 3.44-3.72, 4 Pm 3.46-3.53
Tb2 0.2408 0.2015 0.4082 x4  3 Sc 3.24-3.41, 4 Tb 3.44-3.59, 3 Pm 3.48-3.63
Pm1 0.2317 0.6964 0.9054 x4  3 Sc 3.25-3.46, 5 Tb 3.46-3.63, 2 Pm 3.57
Sc1 0.4430 0.5006 0.2773 x4  1 Sc 3.02, 2 Tb 3.24-3.33, 2 Pm 3.25-3.33

Calculated values
N(E_F) ... 9.86 states/eV/f.u.
Total magnetic moment ... 0.00 Bohr magnetons per cell

=====

B.
Compound: Tb3Pm2Sc2
Source: Alexandria via LeMat-Bulk
Functional: PBE-GGA
Structure: relaxed

Cell lengths 10.9993, 4.9712, 7.8483 Å; angles 90.00, 98.43, 90.00 degrees
Closest atoms and distances in Å follow each position.
Space group C2/m (No. 12)
Symmetry-distinct sites (fractional):
Tb1 0.0000 0.0000 0.0000 x2  6 Sc 3.46-3.50, 4 Pm 3.47, 2 Tb 3.51
Tb2 0.1440 0.0000 0.4298 x4  4 Tb 3.47-3.51, 3 Sc 3.50-3.53, 5 Pm 3.50-3.55
Pm1 0.0725 0.5000 0.7233 x4  4 Sc 3.42-3.49, 7 Tb 3.47-3.55, 1 Pm 3.63
Sc1 0.2156 0.5000 0.1401 x4  4 Pm 3.42-3.49, 6 Tb 3.46-3.53, 2 Sc 3.48

Calculated values
N(E_F) ... 10.16 states/eV/f.u.
Total magnetic moment ... 0.00 Bohr magnetons per cell

=====

B comes first in stability; the runner-up is 0.081 eV/atom higher.